This record from the Alexandria database describes a relaxed K2MoIrO6 crystal. The functional is GGA+U.

Computed properties:
VASP energy in Ha/atom: -0.227
Space-group type: Fm-3m, No. 225

Unit cell a=5.6011 b=5.6011 c=5.6011 alpha=60.00 beta=60.00 gamma=60.00
Closest atoms and distances in Å follow each position.
Sites, in units of the cell vectors:
1 K 0.2500 0.2500 0.2500  12 O 2.80
2 K 0.7500 0.7500 0.7500  12 O 2.80
3 Mo 0.0000 0.0000 0.0000  6 O 1.96
4 Ir 0.5000 0.5000 0.5000  6 O 2.00
5 O 0.2471 0.2471 0.7529  1 Mo 1.96, 1 Ir 2.00
6 O 0.2471 0.7529 0.2471  1 Mo 1.96, 1 Ir 2.00
7 O 0.2471 0.7529 0.7529  1 Mo 1.96, 1 Ir 2.00
8 O 0.7529 0.2471 0.2471  1 Mo 1.96, 1 Ir 2.00
9 O 0.7529 0.2471 0.7529  1 Mo 1.96, 1 Ir 2.00
10 O 0.7529 0.7529 0.2471  1 Mo 1.96, 1 Ir 2.00